Computed, not measured: an optimized crystal structure of Sr2Co2O5 at the GGA+U level of DFT.

The space group is Pnma (No. 62) and the conventional cell measures 5.428, 16.227 and 5.538 Å, with angles of 90.00, 90.00 and 90.00 degrees. The distinct sites, in fractional coordinates, are Sr at (0.001, 0.110, 0.010), Co at (0.000, 0.000, 0.500), Co at (0.038, 0.250, 0.564), O at (0.009, 0.644, 0.530), O at (0.109, 0.750, 0.120) and O at (0.248, 0.004, 0.752).

As for the mass density: 5.080 g cm⁻³. As for the energy above the most stable polymorph in this dataset: 0 meV/atom. Its density of states at the Fermi level is 14.3 states/eV/cell.